Below is a geometry-optimized CeSmSnHg structure, with properties calculated at the GGA-PBE level.

a b c (Å): 3.8395 3.8395 7.6365
angles (deg): 90.00 90.00 90.00
Closest atoms and distances in Å follow each position.
Element x y z (fractional)
1 Ce 0.0000 0.0000 0.0000  4 Sn 3.34, 4 Hg 3.37
2 Sm 0.0000 0.0000 0.5000  4 Hg 3.27, 4 Sn 3.30
3 Sn 0.5000 0.5000 0.7462  4 Sm 3.30, 4 Ce 3.34
4 Hg 0.5000 0.5000 0.2608  4 Sm 3.27, 4 Ce 3.37

Output
For the total magnetization, the calculation gives 1.377 μB per formula unit. The calculation puts the offset from the most stable computed form at 17 meV per atom. The formation energy comes out at -0.497 eV/atom.